Model one:
Computed, not measured: an optimized crystal structure of K2CuIr at the PBEsol level of DFT.

Calculated values
The total moment comes out at 0.000 μB/f.u. Its density of states at the Fermi level is 0.610 states/eV/atom.

a = 6.010 Å, b = 6.010 Å, c = 2.600 Å
α = 90.00°, β = 90.00°, γ = 90.00°
Space group P4/mmm (No. 123)
Symmetry-distinct sites (fractional):
K  0.000  0.500  0.000 x2
Cu  0.000  0.000  0.500 x1
Ir  0.500  0.500  0.500 x1



Model two:
Computed, not measured: an optimized crystal structure of K2CuIr at the PBEsol level of DFT.

Calculated values
The total moment comes out at 0.000 μB/f.u. Its density of states at the Fermi level is 0.808 states/eV/atom.

a = 2.906 Å, b = 3.903 Å, c = 9.685 Å
α = 90.00°, β = 90.00°, γ = 90.00°
Space group Pmm2 (No. 25)
Symmetry-distinct sites (fractional):
K  0.000  0.000  0.000 x1
K  0.500  0.500  0.446 x1
Cu  0.000  0.000  0.698 x1
Ir  0.500  0.500  0.753 x1



Most stable structure, least stable structure: model two, model one.



Model one:
Computed, not measured: an optimized crystal structure of Li2CuIr at the PBEsol level of DFT.

Calculated values
The total moment comes out at 0.000 μB/f.u. Its density of states at the Fermi level is 0.493 states/eV/atom.

a = 8.900 Å, b = 2.487 Å, c = 4.715 Å
α = 90.00°, β = 97.40°, γ = 90.00°
Space group Cm (No. 8)
Symmetry-distinct sites (fractional):
Li  0.000  0.000  0.000 x2
Li  0.237  0.000  0.759 x2
Cu  0.492  0.000  0.474 x2
Ir  0.251  0.500  0.270 x2



Model two:
Computed, not measured: an optimized crystal structure of Li2CuIr at the PBEsol level of DFT.

Calculated values
The total moment comes out at 0.000 μB/f.u. Its density of states at the Fermi level is 0.565 states/eV/atom.

a = 2.470 Å, b = 4.266 Å, c = 4.914 Å
α = 90.00°, β = 98.51°, γ = 90.00°
Space group Pm (No. 6)
Symmetry-distinct sites (fractional):
Li  0.000  0.000  0.000 x1
Li  0.246  0.500  0.768 x1
Cu  0.922  0.500  0.290 x1
Ir  0.529  0.000  0.490 x1



Model three:
Computed, not measured: an optimized crystal structure of Li2CuIr at the PBEsol level of DFT.

Calculated values
The total moment comes out at 0.001 μB/f.u. Its density of states at the Fermi level is 0.602 states/eV/atom.

a = 5.134 Å, b = 8.628 Å, c = 2.526 Å
α = 90.00°, β = 116.04°, γ = 90.00°
Space group C2/m (No. 12)
Symmetry-distinct sites (fractional):
Li  0.250  0.250  0.000 x4
Cu  0.000  0.000  0.500 x2
Ir  0.000  0.500  0.500 x2



Most stable structure, least stable structure: model three, model one.



Model one:
Computed, not measured: an optimized crystal structure of Li2CuIr at the PBEsol level of DFT.

Calculated values
The total moment comes out at 0.000 μB/f.u. Its density of states at the Fermi level is 0.633 states/eV/atom.

a = 2.539 Å, b = 2.539 Å, c = 7.964 Å
α = 90.00°, β = 90.00°, γ = 90.00°
Space group P4/mmm (No. 123)
Symmetry-distinct sites (fractional):
Li  0.000  0.000  0.250 x2
Cu  0.500  0.500  0.000 x1
Ir  0.500  0.500  0.500 x1



Model two:
Computed, not measured: an optimized crystal structure of Li2CuIr at the PBEsol level of DFT.

Calculated values
The total moment comes out at 0.000 μB/f.u. Its density of states at the Fermi level is 0.425 states/eV/atom.

a = 2.721 Å, b = 4.393 Å, c = 8.647 Å
α = 90.00°, β = 90.00°, γ = 90.00°
Space group Cmmm (No. 65)
Symmetry-distinct sites (fractional):
Li  0.000  0.000  0.247 x4
Cu  0.000  0.500  0.500 x2
Ir  0.000  0.500  0.000 x2



Most stable structure, least stable structure: model two, model one.